The following is a DFT calculation (GGA+U) of a relaxed structure of PuMnZnO6.

Cell: 5.2264 5.2264 9.0404 Å, 90.00 90.00 120.00°
With the nearest neighbours (Å) after each atom.
Space group P-31c (No. 163)
Symmetry-distinct sites (fractional):
Pu 0.3333 0.6667 0.2500 (multiplicity 2)  6 O 2.05
Mn 0.3333 0.6667 0.7500 (multiplicity 2)  6 O 1.97
Zn 0.0000 0.0000 0.0000 (multiplicity 2)  6 O 2.17
O 0.0126 0.3527 0.6326 (multiplicity 12)  1 Mn 1.97, 1 Pu 2.05, 1 Zn 2.17

The volume comes out at 213.9 Å³/cell. The raw total energy is -7.65 eV per atom.